LiMnPO4: relaxed, PBE with a Hubbard U.

Cell lengths 4.4149, 14.5011, 4.8711 Å; angles 90.00, 90.00, 90.00 degrees
With the nearest neighbours (Å) after each atom.
Element x y z (fractional)
O  0.2335  0.5541  0.5929  1 P 1.55
O  0.2665  0.0541  0.5929  1 P 1.55
O  0.7665  0.4459  0.4071  1 P 1.55
O  0.7335  0.0541  0.9071  1 P 1.55
O  0.3189  0.1742  0.9607  1 P 1.57
O  0.2335  0.4459  0.0929  1 P 1.55
O  0.2665  0.9459  0.0929  1 P 1.55
O  0.1811  0.3258  0.4607  1 P 1.57
O  0.3189  0.8258  0.4607  1 P 1.57
O  0.8189  0.6742  0.5393  1 P 1.57
O  0.6811  0.8258  0.0393  1 P 1.57
O  0.7665  0.5541  0.9071  1 P 1.55
O  0.7335  0.9459  0.4071  1 P 1.55
O  0.6811  0.1742  0.5393  1 P 1.57
O  0.1811  0.6742  0.9607  1 P 1.57
O  0.8189  0.3258  0.0393  1 P 1.57
P  0.0000  0.6139  0.7500  4 O 1.55-1.57
P  0.5000  0.8861  0.2500  4 O 1.55-1.57
P  0.0000  0.3861  0.2500  4 O 1.55-1.57
P  0.5000  0.1139  0.7500  4 O 1.55-1.57
Li  0.5000  0.2523  0.2500  4 O 1.98-2.04
Li  0.0000  0.2477  0.7500  4 O 1.98-2.04
Li  0.0000  0.7523  0.2500  4 O 1.98-2.04
Li  0.5000  0.7477  0.7500  4 O 1.98-2.04
Mn  0.5000  0.5721  0.2500  4 O 2.06-2.31
Mn  0.5000  0.4279  0.7500  4 O 2.06-2.31
Mn  0.0000  0.9279  0.7500  4 O 2.06-2.31
Mn  0.0000  0.0721  0.2500  4 O 2.06-2.31

Values from the calculation:
- Energy relative to the lowest polymorph listed for this composition: 0.058 eV per atom
- Total magnetic moment: 20.00 μB/cell
- Crystal system: orthorhombic